1.
BeNiSe: optimized geometry, PBE.

Cell: 6.6900 3.7094 6.5906 Å, 90.00 99.85 90.00°
With the nearest neighbours (Å) after each atom.
Space group Cm (No. 8)
One atom of each set of equivalent atoms:
Be (0.0000, 0.0000, 0.0000) (multiplicity 2)  6 Ni 2.25-2.39
Be (0.0870, 0.5000, 0.4906) (multiplicity 2)  3 Se 2.33-2.40, 1 Ni 2.45
Ni (0.1444, 0.5000, 0.8677) (multiplicity 2)  4 Be 2.33-2.45, 3 Se 2.34-2.35
Ni (0.3492, 0.0000, 0.0957) (multiplicity 2)  3 Be 2.25-2.31, 3 Se 2.34-2.47
Se (0.2969, 0.0000, 0.7361) (multiplicity 2)  4 Ni 2.34-2.35
Se (0.3817, 0.5000, 0.3465) (multiplicity 2)  4 Be 2.33-2.54, 2 Ni 2.47

Properties
total energy = -54.00 eV for the cell shown
ΔE_f (raw) = -16 kJ/mol of atoms

2.
Cs6Cl5: optimized geometry, PBE.

Cell: 8.7387 15.1185 8.7417 Å, 90.00 109.49 90.00°
With the nearest neighbours (Å) after each atom.
Space group C2/m (No. 12)
One atom of each set of equivalent atoms:
Cs (0.2447, 0.0000, 0.2548) (multiplicity 4)  5 Cl 3.50-3.57
Cs (0.2457, 0.1700, 0.7477) (multiplicity 8)  5 Cl 3.52-3.58
Cl (0.0000, 0.0000, 0.5000) (multiplicity 2)  6 Cs 3.50-3.58
Cl (0.0000, 0.1669, 0.0000) (multiplicity 4)  6 Cs 3.55-3.57
Cl (0.0000, 0.3345, 0.5000) (multiplicity 4)  6 Cs 3.52-3.58

Properties
total energy = -67.41 eV for the cell shown
ΔE_f (raw) = -170 kJ/mol of atoms

3.
RbSrScI6: optimized geometry, PBE.

Cell: 8.1268 8.1268 15.7841 Å, 90.00 90.00 120.00°
With the nearest neighbours (Å) after each atom.
Space group P-31c (No. 163)
One atom of each set of equivalent atoms:
Rb (0.0000, 0.0000, 0.0000) (multiplicity 2)  6 I 3.74
Sr (0.3333, 0.6667, 0.2500) (multiplicity 2)  6 I 3.29
Sc (0.3333, 0.6667, 0.7500) (multiplicity 2)  6 I 2.92
I (0.0348, 0.3862, 0.6407) (multiplicity 12)  1 Sc 2.92

Properties
total energy = -62.60 eV for the cell shown
ΔE_f (raw) = -140 kJ/mol of atoms